A | # LaInTc PBE optimized geometry
# Density of states at the Fermi level, states/eV per cell: 2.5
# Spin magnetization, μB/atom: 0.000
# Crystal system: trigonal
data_LaInTc
_chemical_formula_sum 'La1 In1 Tc1'
_cell_length_a 3.6096
_cell_length_b 3.6096
_cell_length_c 6.6237
_cell_angle_alpha 90.00
_cell_angle_beta 90.00
_cell_angle_gamma 120.00
_symmetry_space_group_name_H-M 'P 3 m 1'
_symmetry_Int_Tables_number 156
loop_
_symmetry_equiv_pos_as_xyz
'x,y,z'
'-y,x-y,z'
'-x+y,-x,z'
'-y,-x,z'
'-x+y,y,z'
'x,x-y,z'
loop_
_atom_site_label
_atom_site_fract_x
_atom_site_fract_y
_atom_site_fract_z
La1 0.0000 0.0000 0.0000
In1 0.3333 0.6667 0.5732
Tc1 0.6667 0.3333 0.2991

B | # LaInTc PBE optimized geometry
# Density of states at the Fermi level, states/eV per cell: 26.8
# Spin magnetization, μB/atom: 0.420
# Crystal system: cubic
data_LaInTc
_chemical_formula_sum 'La4 In4 Tc4'
_cell_length_a 7.041
_cell_length_b 7.041
_cell_length_c 7.041
_cell_angle_alpha 90.00
_cell_angle_beta 90.00
_cell_angle_gamma 90.00
_symmetry_space_group_name_H-M 'F -4 3 m'
_symmetry_Int_Tables_number 216
_symmetry_space_group_name_Hall 'F -4 2 3'
loop_
_atom_site_label
_atom_site_fract_x
_atom_site_fract_y
_atom_site_fract_z
La1 0.000 0.000 0.000
In1 0.250 0.250 0.250
Tc1 0.250 0.250 0.750

C | # LaInTc PBE optimized geometry
# Density of states at the Fermi level, states/eV per cell: 7.7
# Spin magnetization, μB/atom: 0.000
# Crystal system: tetragonal
data_LaInTc
_chemical_formula_sum 'La2 In2 Tc2'
_cell_length_a 3.450
_cell_length_b 3.450
_cell_length_c 12.002
_cell_angle_alpha 90.00
_cell_angle_beta 90.00
_cell_angle_gamma 90.00
_symmetry_space_group_name_H-M 'I 4 m m'
_symmetry_Int_Tables_number 107
_symmetry_space_group_name_Hall 'I 4 -2'
loop_
_atom_site_label
_atom_site_fract_x
_atom_site_fract_y
_atom_site_fract_z
La1 0.000 0.000 0.000
In1 0.000 0.000 0.725
Tc1 0.000 0.000 0.344

Most favorable structure: C. The second most favorable one is 181 meV/atom above it.

A | # LaInTc PBE optimized geometry
# Density of states at the Fermi level, states/eV per cell: 11.1
# Spin magnetization, μB/atom: 0.000
# Crystal system: monoclinic
data_LaInTc
_chemical_formula_sum 'La4 In4 Tc4'
_cell_length_a 13.452
_cell_length_b 4.337
_cell_length_c 5.417
_cell_angle_alpha 90.00
_cell_angle_beta 103.74
_cell_angle_gamma 90.00
_symmetry_space_group_name_H-M 'C 1 2/m 1'
_symmetry_Int_Tables_number 12
loop_
_symmetry_equiv_pos_as_xyz
'x,y,z'
'-x,-y,-z'
'-x,y,-z'
'x,-y,z'
'x+1/2,y+1/2,z'
'-x+1/2,-y+1/2,-z'
'-x+1/2,y+1/2,-z'
'x+1/2,-y+1/2,z'
loop_
_atom_site_label
_atom_site_fract_x
_atom_site_fract_y
_atom_site_fract_z
La1 0.128 0.000 0.322
In1 0.073 0.500 0.793
Tc1 0.220 0.000 0.901

B | # LaInTc PBE optimized geometry
# Density of states at the Fermi level, states/eV per cell: 14.1
# Spin magnetization, μB/atom: 0.000
# Crystal system: cubic
data_LaInTc
_chemical_formula_sum 'La4 In4 Tc4'
_cell_length_a 6.745
_cell_length_b 6.745
_cell_length_c 6.745
_cell_angle_alpha 90.00
_cell_angle_beta 90.00
_cell_angle_gamma 90.00
_symmetry_space_group_name_H-M 'F -4 3 m'
_symmetry_Int_Tables_number 216
_symmetry_space_group_name_Hall 'F -4 2 3'
loop_
_atom_site_label
_atom_site_fract_x
_atom_site_fract_y
_atom_site_fract_z
La1 0.000 0.000 0.000
In1 0.000 0.000 0.500
Tc1 0.250 0.250 0.250

C | # LaInTc PBE optimized geometry
# Density of states at the Fermi level, states/eV per cell: 2.4
# Spin magnetization, μB/atom: 0.000
# Crystal system: hexagonal
data_LaInTc
_chemical_formula_sum 'La1 In1 Tc1'
_cell_length_a 4.7013
_cell_length_b 4.7013
_cell_length_c 3.9386
_cell_angle_alpha 90.00
_cell_angle_beta 90.00
_cell_angle_gamma 120.00
_symmetry_space_group_name_H-M 'P -6 m 2'
_symmetry_Int_Tables_number 187
_symmetry_space_group_name_Hall 'P -6 2'
loop_
_atom_site_label
_atom_site_fract_x
_atom_site_fract_y
_atom_site_fract_z
La1 0.0000 0.0000 0.0000
In1 0.3333 0.6667 0.5000
Tc1 0.6667 0.3333 0.5000

Most favorable structure: A. The second most favorable one is 342 meV/atom above it.

A | # LaIn2Te PBE optimized geometry
# Density of states at the Fermi level, states/eV per cell: 5.7
# Spin magnetization, μB/atom: 0.000
# Crystal system: tetragonal
data_LaIn2Te
_chemical_formula_sum 'La2 In4 Te2'
_cell_length_a 4.861
_cell_length_b 4.861
_cell_length_c 9.772
_cell_angle_alpha 90.00
_cell_angle_beta 90.00
_cell_angle_gamma 90.00
_symmetry_space_group_name_H-M 'I -4 m 2'
_symmetry_Int_Tables_number 119
_symmetry_space_group_name_Hall 'I -4 -2'
loop_
_atom_site_label
_atom_site_fract_x
_atom_site_fract_y
_atom_site_fract_z
La1 0.000 0.000 0.000
In1 0.000 0.000 0.500
In2 0.000 0.500 0.250
Te1 0.000 0.500 0.750

B | # LaIn2Te PBE optimized geometry
# Density of states at the Fermi level, states/eV per cell: 14.9
# Spin magnetization, μB/atom: 0.000
# Crystal system: tetragonal
data_LaIn2Te
_chemical_formula_sum 'La4 In8 Te4'
_cell_length_a 8.947
_cell_length_b 8.947
_cell_length_c 6.385
_cell_angle_alpha 90.00
_cell_angle_beta 90.00
_cell_angle_gamma 90.00
_symmetry_space_group_name_H-M 'I -4 2 d'
_symmetry_Int_Tables_number 122
_symmetry_space_group_name_Hall 'I -4 2bw'
loop_
_atom_site_label
_atom_site_fract_x
_atom_site_fract_y
_atom_site_fract_z
La1 0.000 0.000 0.000
In1 0.232 0.250 0.625
Te1 0.000 0.000 0.500

Most favorable structure: A. The second most favorable one is 208 meV/atom above it.

A | # La2In2Te PBE optimized geometry
# Density of states at the Fermi level, states/eV per cell: 0.8
# Spin magnetization, μB/atom: 0.000
# Crystal system: tetragonal
data_La2In2Te
_chemical_formula_sum 'La4 In4 Te2'
_cell_length_a 8.335
_cell_length_b 8.335
_cell_length_c 4.540
_cell_angle_alpha 90.00
_cell_angle_beta 90.00
_cell_angle_gamma 90.00
_symmetry_space_group_name_H-M 'P 4/m b m'
_symmetry_Int_Tables_number 127
_symmetry_space_group_name_Hall '-P 4 2ab'
loop_
_atom_site_label
_atom_site_fract_x
_atom_site_fract_y
_atom_site_fract_z
La1 0.175 0.325 0.000
In1 0.125 0.625 0.500
Te1 0.000 0.000 0.500

B | # La2In2Te PBE optimized geometry
# Density of states at the Fermi level, states/eV per cell: 12.4
# Spin magnetization, μB/atom: 0.000
# Crystal system: tetragonal
data_La2In2Te
_chemical_formula_sum 'La4 In4 Te2'
_cell_length_a 8.387
_cell_length_b 8.387
_cell_length_c 4.892
_cell_angle_alpha 90.00
_cell_angle_beta 90.00
_cell_angle_gamma 90.00
_symmetry_space_group_name_H-M 'P 4/m b m'
_symmetry_Int_Tables_number 127
_symmetry_space_group_name_Hall '-P 4 2ab'
loop_
_atom_site_label
_atom_site_fract_x
_atom_site_fract_y
_atom_site_fract_z
La1 0.166 0.334 0.000
In1 0.132 0.632 0.500
Te1 0.000 0.000 0.000

Most favorable structure: B. The second most favorable one is 54 meV/atom above it.